1.
# CuRu2Au

A relaxed structure of CuRu2Au (PBE, Alexandria via LeMat-Bulk).

Cell and atoms, written as POSCAR:
```
CuRu2Au
1.0
4.801 0.008 0.012
4.016 2.632 0.012
0.822 0.246 4.620
Cu Ru Au
1 2 1
direct
0.750 0.750 0.750
0.007 0.007 0.981
0.493 0.493 0.519
0.250 0.250 0.250
```

Calculated values
The formation energy is 357 meV/atom. As for the space group: No. 12. The calculation puts the total energy at -0.4501 Ry/atom. The offset from the most stable computed form is 194 meV per atom.

***

2.
# Cu2RuAu

A relaxed structure of Cu2RuAu (PBE, Alexandria via LeMat-Bulk).

Cell and atoms, written as POSCAR:
```
Cu2RuAu
1.0
-0.131 3.136 2.804
-1.337 -1.553 1.675
3.707 -2.385 2.841
Cu Ru Au
2 1 1
direct
0.500 0.057 0.262
0.000 0.187 0.001
0.000 0.455 0.464
0.500 0.801 0.773
```

Calculated values
The formation energy is 261 meV/atom. As for the space group: No. 38. The calculation puts the total energy at -0.3620 Ry/atom. The offset from the most stable computed form is 61 meV per atom.

***

3.
# CuRu2Au

A relaxed structure of CuRu2Au (PBE, Alexandria via LeMat-Bulk).

Cell and atoms, written as POSCAR:
```
CuRu2Au
1.0
3.754 0.000 0.000
0.000 2.782 0.021
0.000 2.751 5.629
Ru Cu Au
2 1 1
direct
0.000 0.987 0.015
0.500 0.285 0.215
0.500 0.745 0.755
0.000 0.484 0.515
```

Calculated values
The formation energy is 191 meV/atom. As for the space group: No. 6. The calculation puts the total energy at -0.4623 Ry/atom. The offset from the most stable computed form is 28 meV per atom.

***

4.
# Th2CuRuAu

A relaxed structure of Th2CuRuAu (PBE, Alexandria via LeMat-Bulk).

Cell and atoms, written as POSCAR:
```
Th2CuRuAu
1.0
4.188 0.000 0.000
0.000 7.180 0.453
0.000 -2.536 7.376
Ru Th Au Cu
2 4 2 2
direct
0.250 0.859 0.902
0.750 0.141 0.098
0.250 0.282 0.937
0.750 0.718 0.063
0.750 0.858 0.652
0.250 0.142 0.348
0.250 0.694 0.348
0.750 0.306 0.652
0.750 0.459 0.356
0.250 0.541 0.644
```

Calculated values
The formation energy is -451 meV/atom. As for the space group: No. 11. The calculation puts the total energy at -0.4960 Ry/atom.